DFT (PBE) results for a relaxed KCdMo crystal.

Properties
M_tot   5.11 Bohr magnetons per cell
ΔH_f (0 K)   1779 meV/atom
Uncorrected energy   -2.50 eV per atom

```
data_KCdMo
_cell_length_a 5.532
_cell_length_b 5.532
_cell_length_c 5.532
_cell_angle_alpha 60.00
_cell_angle_beta 60.00
_cell_angle_gamma 60.00
_space_group_name_H-M_alt 'P 1'
_space_group_IT_number 1
_space_group_name_Hall 'P 1'
loop_
_atom_site_label
_atom_site_type_symbol
_atom_site_fract_x
_atom_site_fract_y
_atom_site_fract_z
_atom_site_occupancy
Cd1 Cd 0.500 0.500 0.500 1
K1 K 0.750 0.750 0.750 1
Mo1 Mo 0.000 0.000 0.000 1
```

DFT (PBE) results for a relaxed NaS2O6 crystal.

Properties
M_tot   0.79 Bohr magnetons per cell
Raw formation energy   -1.2424 eV/atom
Uncorrected energy   -5.61 eV per atom

```
data_NaS2O6
_cell_length_a 6.040
_cell_length_b 7.139
_cell_length_c 7.139
_cell_angle_alpha 82.80
_cell_angle_beta 72.89
_cell_angle_gamma 72.89
_space_group_name_H-M_alt 'P 1'
_space_group_IT_number 1
_space_group_name_Hall 'P 1'
loop_
_atom_site_label
_atom_site_type_symbol
_atom_site_fract_x
_atom_site_fract_y
_atom_site_fract_z
_atom_site_occupancy
O1 O 0.327 0.067 0.212 1
O2 O 0.668 0.570 0.120 1
S1 S 0.707 0.371 0.205 1
O3 O 0.173 0.788 0.933 1
O4 O 0.168 0.120 0.570 1
O5 O 0.827 0.212 0.067 1
O6 O 0.006 0.370 0.330 1
O7 O 0.506 0.330 0.370 1
Na1 Na 0.250 0.123 0.877 1
O8 O 0.994 0.630 0.670 1
O9 O 0.494 0.670 0.630 1
S2 S 0.793 0.795 0.629 1
O10 O 0.832 0.880 0.430 1
S3 S 0.207 0.205 0.371 1
Na2 Na 0.750 0.877 0.123 1
S4 S 0.293 0.629 0.795 1
O11 O 0.332 0.430 0.880 1
O12 O 0.673 0.933 0.788 1
```

DFT (PBE) results for a relaxed ZnFeIr crystal.

Properties
M_tot   3.23 Bohr magnetons per cell
ΔH_f (0 K)   -67 meV/atom
Uncorrected energy   -6.27 eV per atom

```
data_ZnFeIr
_cell_length_a 4.607
_cell_length_b 4.607
_cell_length_c 4.607
_cell_angle_alpha 144.96
_cell_angle_beta 132.78
_cell_angle_gamma 60.14
_space_group_name_H-M_alt 'P 1'
_space_group_IT_number 1
_space_group_name_Hall 'P 1'
loop_
_atom_site_label
_atom_site_type_symbol
_atom_site_fract_x
_atom_site_fract_y
_atom_site_fract_z
_atom_site_occupancy
Fe1 Fe 0.998 0.998 0.000 1
Zn1 Zn 0.667 0.667 0.000 1
Ir1 Ir 0.335 0.335 0.000 1
```

DFT (PBE) results for a relaxed Cr4Ru crystal.

Properties
M_tot   0.00 Bohr magnetons per cell
ΔH_f (0 K)   53 meV/atom
Uncorrected energy   -9.50 eV per atom

```
data_Cr4Ru
_cell_length_a 2.875
_cell_length_b 4.808
_cell_length_c 4.808
_cell_angle_alpha 95.13
_cell_angle_beta 107.40
_cell_angle_gamma 72.60
_space_group_name_H-M_alt 'P 1'
_space_group_IT_number 1
_space_group_name_Hall 'P 1'
loop_
_atom_site_label
_atom_site_type_symbol
_atom_site_fract_x
_atom_site_fract_y
_atom_site_fract_z
_atom_site_occupancy
Cr1 Cr 0.811 0.798 0.421 1
Cr2 Cr 0.189 0.202 0.579 1
Ru1 Ru 0.000 0.000 0.000 1
Cr3 Cr 0.609 0.579 0.798 1
Cr4 Cr 0.391 0.421 0.202 1
```

DFT (PBE) results for a relaxed LiAgOs crystal.

Properties
M_tot   2.19 Bohr magnetons per cell
ΔH_f (0 K)   1241 meV/atom
Uncorrected energy   -4.09 eV per atom

```
data_LiAgOs
_cell_length_a 4.292
_cell_length_b 4.292
_cell_length_c 4.292
_cell_angle_alpha 60.00
_cell_angle_beta 60.00
_cell_angle_gamma 60.00
_space_group_name_H-M_alt 'P 1'
_space_group_IT_number 1
_space_group_name_Hall 'P 1'
loop_
_atom_site_label
_atom_site_type_symbol
_atom_site_fract_x
_atom_site_fract_y
_atom_site_fract_z
_atom_site_occupancy
Ag1 Ag 0.750 0.750 0.750 1
Li1 Li 0.000 0.000 0.000 1
Os1 Os 0.500 0.500 0.500 1
```

DFT (PBE) results for a relaxed Cd2In4Hg9 crystal.

Properties
M_tot   0.00 Bohr magnetons per cell
ΔH_f (0 K)   13 meV/atom
Uncorrected energy   -1.02 eV per atom

```
data_Cd2In4Hg9
_cell_length_a 6.232
_cell_length_b 6.369
_cell_length_c 22.747
_cell_angle_alpha 85.25
_cell_angle_beta 89.79
_cell_angle_gamma 60.78
_space_group_name_H-M_alt 'P 1'
_space_group_IT_number 1
_space_group_name_Hall 'P 1'
loop_
_atom_site_label
_atom_site_type_symbol
_atom_site_fract_x
_atom_site_fract_y
_atom_site_fract_z
_atom_site_occupancy
Hg1 Hg 0.664 0.870 0.119 1
Hg2 Hg 0.203 0.807 0.054 1
Cd1 Cd 0.938 0.919 0.686 1
Hg3 Hg 0.538 0.128 0.380 1
Hg4 Hg 0.797 0.193 0.946 1
In1 In 0.273 0.271 0.016 1
In2 In 0.456 0.270 0.515 1
Cd2 Cd 0.864 0.078 0.814 1
Hg5 Hg 0.350 0.559 0.783 1
Hg6 Hg 0.565 0.998 0.249 1
Hg7 Hg 0.435 0.002 0.751 1
Hg8 Hg 0.650 0.441 0.217 1
Cd3 Cd 0.136 0.922 0.186 1
Hg9 Hg 0.733 0.326 0.084 1
Hg10 Hg 0.267 0.674 0.916 1
Hg11 Hg 0.986 0.806 0.554 1
Hg12 Hg 0.906 0.439 0.716 1
In3 In 0.173 0.408 0.153 1
Hg13 Hg 0.462 0.872 0.620 1
In4 In 0.586 0.592 0.348 1
Hg14 Hg 0.336 0.130 0.881 1
In5 In 0.544 0.730 0.485 1
Hg15 Hg 0.014 0.194 0.446 1
Hg16 Hg 0.937 0.322 0.583 1
Hg17 Hg 0.063 0.678 0.417 1
Hg18 Hg 0.094 0.561 0.284 1
In6 In 0.827 0.592 0.847 1
In7 In 0.414 0.408 0.652 1
Cd4 Cd 0.062 0.081 0.314 1
In8 In 0.727 0.729 0.984 1
```

DFT (PBE) results for a relaxed Sc5Sb2 crystal.

Properties
M_tot   0.00 Bohr magnetons per cell
Raw formation energy   -0.5615 eV/atom
Uncorrected energy   -6.26 eV per atom

```
data_Sc5Sb2
_cell_length_a 5.799
_cell_length_b 7.881
_cell_length_c 7.918
_cell_angle_alpha 95.20
_cell_angle_beta 111.48
_cell_angle_gamma 90.00
_space_group_name_H-M_alt 'P 1'
_space_group_IT_number 1
_space_group_name_Hall 'P 1'
loop_
_atom_site_label
_atom_site_type_symbol
_atom_site_fract_x
_atom_site_fract_y
_atom_site_fract_z
_atom_site_occupancy
Sc1 Sc 0.680 0.250 0.000 1
Sb1 Sb 0.420 0.083 0.199 1
Sc2 Sc 0.955 0.936 0.207 1
Sb2 Sb 0.580 0.917 0.801 1
Sc3 Sc 0.818 0.314 0.451 1
Sc4 Sc 0.182 0.686 0.549 1
Sc5 Sc 0.368 0.186 0.549 1
Sc6 Sc 0.748 0.564 0.793 1
Sb3 Sb 0.221 0.417 0.801 1
Sc7 Sc 0.045 0.064 0.793 1
Sc8 Sc 0.252 0.436 0.207 1
Sc9 Sc 0.632 0.814 0.451 1
Sc10 Sc 0.320 0.750 0.000 1
Sb4 Sb 0.779 0.583 0.199 1
```

DFT (PBE) results for a relaxed LaNb2OsW crystal.

Properties
M_tot   0.56 Bohr magnetons per cell
ΔH_f (0 K)   865 meV/atom
Uncorrected energy   -8.99 eV per atom

```
data_LaNb2OsW
_cell_length_a 4.950
_cell_length_b 4.898
_cell_length_c 4.950
_cell_angle_alpha 90.00
_cell_angle_beta 90.00
_cell_angle_gamma 90.00
_space_group_name_H-M_alt 'P 1'
_space_group_IT_number 1
_space_group_name_Hall 'P 1'
loop_
_atom_site_label
_atom_site_type_symbol
_atom_site_fract_x
_atom_site_fract_y
_atom_site_fract_z
_atom_site_occupancy
W1 W 0.000 0.500 0.000 1
Nb1 Nb 0.500 0.000 0.000 1
Os1 Os 0.000 0.000 0.000 1
Nb2 Nb 0.000 0.000 0.500 1
La1 La 0.500 0.500 0.500 1
```

DFT (PBE) results for a relaxed PuS2Br crystal.

Properties
M_tot   3.03 Bohr magnetons per cell
Raw formation energy   -0.8002 eV/atom
Uncorrected energy   -6.87 eV per atom

```
data_PuS2Br
_cell_length_a 4.242
_cell_length_b 4.242
_cell_length_c 7.097
_cell_angle_alpha 72.61
_cell_angle_beta 72.61
_cell_angle_gamma 60.00
_space_group_name_H-M_alt 'P 1'
_space_group_IT_number 1
_space_group_name_Hall 'P 1'
loop_
_atom_site_label
_atom_site_type_symbol
_atom_site_fract_x
_atom_site_fract_y
_atom_site_fract_z
_atom_site_occupancy
Br1 Br 0.500 0.500 0.500 1
S1 S 0.279 0.279 0.163 1
S2 S 0.721 0.721 0.837 1
Pu1 Pu 0.000 0.000 0.000 1
```

DFT (PBE) results for a relaxed Tb2Pm3Dy7 crystal.

Properties
M_tot   0.00 Bohr magnetons per cell
ΔH_f (0 K)   85 meV/atom
Uncorrected energy   -4.56 eV per atom

```
data_Tb2Pm3Dy7
_cell_length_a 3.570
_cell_length_b 5.835
_cell_length_c 18.798
_cell_angle_alpha 93.18
_cell_angle_beta 90.00
_cell_angle_gamma 90.00
_space_group_name_H-M_alt 'P 1'
_space_group_IT_number 1
_space_group_name_Hall 'P 1'
loop_
_atom_site_label
_atom_site_type_symbol
_atom_site_fract_x
_atom_site_fract_y
_atom_site_fract_z
_atom_site_occupancy
Pm1 Pm 0.000 0.777 0.633 1
Dy1 Dy 0.500 0.808 0.824 1
Dy2 Dy 0.000 0.690 0.144 1
Tb1 Tb 0.500 0.712 0.293 1
Dy3 Dy 0.500 0.192 0.176 1
Dy4 Dy 0.000 0.310 0.856 1
Dy5 Dy 0.000 0.000 0.000 1
Pm2 Pm 0.000 0.223 0.367 1
Pm3 Pm 0.500 0.500 0.000 1
Tb2 Tb 0.500 0.288 0.707 1
Dy6 Dy 0.500 0.257 0.537 1
Dy7 Dy 0.500 0.743 0.463 1
```

DFT (PBE) results for a relaxed La2Hg3 crystal.

Properties
M_tot   0.00 Bohr magnetons per cell
ΔH_f (0 K)   -304 meV/atom
Uncorrected energy   -2.46 eV per atom

```
data_La2Hg3
_cell_length_a 10.703
_cell_length_b 10.703
_cell_length_c 10.703
_cell_angle_alpha 22.77
_cell_angle_beta 22.77
_cell_angle_gamma 22.77
_space_group_name_H-M_alt 'P 1'
_space_group_IT_number 1
_space_group_name_Hall 'P 1'
loop_
_atom_site_label
_atom_site_type_symbol
_atom_site_fract_x
_atom_site_fract_y
_atom_site_fract_z
_atom_site_occupancy
Hg1 Hg 0.195 0.195 0.195 1
Hg2 Hg 0.805 0.805 0.805 1
La1 La 0.597 0.597 0.597 1
Hg3 Hg 0.000 0.000 0.000 1
La2 La 0.403 0.403 0.403 1
```

DFT (PBE) results for a relaxed ScCuPb2 crystal.

Properties
M_tot   0.00 Bohr magnetons per cell
ΔH_f (0 K)   -40 meV/atom
Uncorrected energy   -4.50 eV per atom

```
data_ScCuPb2
_cell_length_a 5.883
_cell_length_b 5.883
_cell_length_c 5.883
_cell_angle_alpha 137.70
_cell_angle_beta 137.70
_cell_angle_gamma 61.37
_space_group_name_H-M_alt 'P 1'
_space_group_IT_number 1
_space_group_name_Hall 'P 1'
loop_
_atom_site_label
_atom_site_type_symbol
_atom_site_fract_x
_atom_site_fract_y
_atom_site_fract_z
_atom_site_occupancy
Cu1 Cu 0.750 0.250 0.500 1
Sc1 Sc 0.500 0.500 0.000 1
Pb1 Pb 0.000 0.000 0.000 1
Pb2 Pb 0.250 0.750 0.500 1
```